a.
First-principles (PBE) data for a geometry-optimized Li3PmPd3 structure, as listed in the Alexandria database.

a = 4.5912 Å, b = 8.0125 Å, c = 8.0125 Å
α = 120.00°, β = 90.00°, γ = 90.00°
Fractional coordinates of all 14 atoms:
Li1 0.7500 0.0018 0.7621
Li2 0.7500 0.7604 0.9982
Li3 0.2500 0.7621 0.7604
Li4 0.7500 0.2379 0.2396
Li5 0.2500 0.2396 0.0018
Li6 0.2500 0.9982 0.2379
Pm1 0.2500 0.6667 0.3333
Pm2 0.7500 0.3333 0.6667
Pd1 0.7500 0.6234 0.5421
Pd2 0.7500 0.9187 0.3766
Pd3 0.2500 0.5421 0.9187
Pd4 0.7500 0.4579 0.0813
Pd5 0.2500 0.0813 0.6234
Pd6 0.2500 0.3766 0.4579

Summary:
The symmetry is No. 176.

=====

b.
First-principles (PBE) data for a geometry-optimized Li3PmPd3 structure, as listed in the Alexandria database.

a = 6.4301 Å, b = 6.4301 Å, c = 6.4301 Å
α = 90.00°, β = 90.00°, γ = 90.00°
Fractional coordinates of all 14 atoms:
Li1 0.0000 0.2500 0.5000
Li2 0.0000 0.7500 0.5000
Li3 0.5000 0.0000 0.7500
Li4 0.7500 0.5000 0.0000
Li5 0.5000 0.0000 0.2500
Li6 0.2500 0.5000 0.0000
Pd1 0.2500 0.0000 0.5000
Pd2 0.0000 0.5000 0.2500
Pd3 0.5000 0.7500 0.0000
Pd4 0.7500 0.0000 0.5000
Pd5 0.0000 0.5000 0.7500
Pd6 0.5000 0.2500 0.0000
Pm1 0.5000 0.5000 0.5000
Pm2 0.0000 0.0000 0.0000

Summary:
The symmetry is No. 223.

=====

From most stable to least stable, the computed energies give a, b.

=====

a.
First-principles (PBE) data for a geometry-optimized LiPmPd structure, as listed in the Alexandria database.

a = 4.1681 Å, b = 7.3021 Å, c = 7.3021 Å
α = 120.00°, β = 90.00°, γ = 90.00°
Fractional coordinates of all 9 atoms:
Li1 0.0000 0.7679 0.7679
Li2 0.0000 0.0000 0.2321
Li3 0.0000 0.2321 0.0000
Pm1 0.5000 0.4118 0.4118
Pm2 0.5000 0.0000 0.5882
Pm3 0.5000 0.5882 0.0000
Pd1 0.0000 0.3333 0.6667
Pd2 0.0000 0.6667 0.3333
Pd3 0.5000 0.0000 0.0000

Summary:
The symmetry is No. 189.

=====

b.
First-principles (PBE) data for a geometry-optimized LiPmPd structure, as listed in the Alexandria database.

a = 3.8200 Å, b = 4.3872 Å, c = 4.3872 Å
α = 120.00°, β = 90.00°, γ = 90.00°
Fractional coordinates of all 3 atoms:
Li1 0.1666 0.0000 0.0000
Pd1 0.1668 0.3333 0.6667
Pm1 0.6666 0.6667 0.3333

Summary:
The symmetry is No. 187.

=====

From most stable to least stable, the computed energies give a, b.

=====

a.
First-principles (PBE) data for a geometry-optimized Li2Pm2Pd3 structure, as listed in the Alexandria database.

a = 4.9505 Å, b = 4.9476 Å, c = 7.5762 Å
α = 90.01°, β = 109.19°, γ = 119.97°
Fractional coordinates of all 7 atoms:
Li1 0.2638 0.1322 0.3955
Li2 0.7362 0.8678 0.6045
Pm1 0.7837 0.3920 0.1755
Pm2 0.2163 0.6080 0.8245
Pd1 0.0000 0.0000 0.0000
Pd2 0.5078 0.2537 0.7609
Pd3 0.4922 0.7463 0.2391

Summary:
The symmetry is No. 12.

=====

b.
First-principles (PBE) data for a geometry-optimized Li2Pm2Pd3 structure, as listed in the Alexandria database.

a = 4.6119 Å, b = 6.1957 Å, c = 5.4805 Å
α = 99.59°, β = 114.88°, γ = 90.00°
Fractional coordinates of all 7 atoms:
Li1 0.1149 0.4202 0.2298
Li2 0.8851 0.5798 0.7702
Pm1 0.3624 0.1922 0.7247
Pm2 0.6376 0.8078 0.2753
Pd1 0.0000 0.0000 0.0000
Pd2 0.3332 0.7220 0.6663
Pd3 0.6668 0.2780 0.3337

Summary:
The symmetry is No. 12.

=====

From most stable to least stable, the computed energies give b, a.